Entry a
{"formula": "PrNd3Dy6", "functional": "GGA-PBE", "state": "optimized geometry", "magmom_total_mub_per_cell": 0.00, "space_group": "No. 146", "lattice": [[1.3798, 9.6345, 2.1352], [-1.5969, 3.3304, 9.2545], [3.6558, 3.5865, 4.7044]], "species": ["Dy", "Dy", "Dy", "Dy", "Dy", "Dy", "Nd", "Nd", "Nd", "Pr"], "fractional_positions": [[0.0742, 0.4004, 0.7994], [0.7260, 0.0742, 0.7994], [0.5735, 0.2268, 0.2993], [0.4004, 0.7260, 0.7994], [0.2268, 0.9003, 0.2993], [0.9003, 0.5735, 0.2993], [0.1506, 0.1506, 0.5481], [0.6486, 0.6486, 0.0542], [0.3997, 0.3997, 0.8009], [0.8998, 0.8998, 0.3007]]}

---

Entry b
{"formula": "PrNd3Dy6", "functional": "GGA-PBE", "state": "optimized geometry", "magmom_total_mub_per_cell": 0.00, "space_group": "No. 36", "lattice": [[-0.8455, -0.7340, 6.2605], [-7.7922, -7.5315, -1.9354], [10.4946, -3.1550, 1.0474]], "species": ["Nd", "Nd", "Nd", "Nd", "Nd", "Nd", "Dy", "Dy", "Dy", "Dy", "Dy", "Dy", "Dy", "Dy", "Dy", "Dy", "Dy", "Dy", "Pr", "Pr"], "fractional_positions": [[0.4638, 0.9363, 0.7101], [0.9638, 0.0637, 0.2899], [0.9638, 0.7101, 0.9363], [0.4638, 0.2899, 0.0637], [0.0717, 0.3886, 0.6114], [0.5717, 0.6114, 0.3886], [0.0445, 0.3786, 0.2878], [0.3738, 0.9610, 0.0390], [0.8731, 0.9507, 0.5310], [0.3731, 0.5310, 0.9507], [0.6477, 0.2746, 0.7254], [0.3731, 0.0493, 0.4690], [0.8738, 0.0390, 0.9610], [0.5445, 0.2878, 0.3786], [0.8731, 0.4690, 0.0493], [0.1477, 0.7254, 0.2746], [0.5445, 0.6214, 0.7122], [0.0445, 0.7122, 0.6214], [0.1294, 0.1953, 0.8047], [0.6294, 0.8047, 0.1953]]}

---

Which of them is the most stable? Correct choice: entry b.

---

Entry a
{"formula": "Pr3Nd7Dy2", "functional": "GGA-PBE", "state": "optimized geometry", "magmom_total_mub_per_cell": 0.00, "space_group": "No. 10", "lattice": [[-0.2295, -2.4949, 2.6487], [0.8342, -4.3583, -4.0328], [18.9559, 1.8923, 3.4251]], "species": ["Nd", "Nd", "Nd", "Nd", "Nd", "Nd", "Nd", "Dy", "Dy", "Pr", "Pr", "Pr"], "fractional_positions": [[0.5000, 0.7433, 0.4642], [0.5000, 0.8118, 0.8192], [0.5000, 0.1882, 0.1808], [0.5000, 0.2567, 0.5358], [0.0000, 0.0000, 0.0000], [0.0000, 0.6862, 0.1457], [0.0000, 0.3138, 0.8543], [0.5000, 0.2896, 0.7047], [0.5000, 0.7104, 0.2953], [0.0000, 0.7810, 0.6341], [0.0000, 0.2190, 0.3659], [0.5000, 0.5000, 0.0000]]}

---

Entry b
{"formula": "Pr3Nd7Dy2", "functional": "GGA-PBE", "state": "optimized geometry", "magmom_total_mub_per_cell": 0.00, "space_group": "No. 10", "lattice": [[3.6066, 0.0000, 0.0000], [0.0000, 6.4928, 0.7918], [0.0000, 2.4296, 18.2890]], "species": ["Nd", "Nd", "Nd", "Nd", "Nd", "Nd", "Nd", "Pr", "Pr", "Pr", "Dy", "Dy"], "fractional_positions": [[0.5000, 0.9461, 0.8308], [0.0000, 0.0000, 0.0000], [0.5000, 0.0539, 0.1692], [0.5000, 0.2418, 0.5028], [0.0000, 0.5611, 0.1686], [0.5000, 0.7582, 0.4972], [0.0000, 0.4389, 0.8314], [0.5000, 0.5000, 0.0000], [0.0000, 0.8856, 0.6614], [0.0000, 0.1144, 0.3386], [0.5000, 0.3854, 0.6702], [0.5000, 0.6146, 0.3298]]}

---

Which of them is the most stable? Correct choice: entry b.

---

Entry a
{"formula": "Pr4Nd3Dy4", "functional": "GGA-PBE", "state": "optimized geometry", "magmom_total_mub_per_cell": 0.00, "space_group": "No. 71", "lattice": [[3.5726, 0.0000, -0.6581], [-0.8613, 8.3067, -4.6760], [0.3980, 1.3878, 12.1877]], "species": ["Pr", "Pr", "Pr", "Pr", "Nd", "Nd", "Nd", "Dy", "Dy", "Dy", "Dy"], "fractional_positions": [[0.3537, 0.1761, 0.7075], [0.3537, 0.5313, 0.7075], [0.6463, 0.8239, 0.2925], [0.6463, 0.4687, 0.2925], [0.8922, 0.8922, 0.7844], [0.1078, 0.1078, 0.2156], [0.0000, 0.5000, 0.0000], [0.5000, 0.1824, 0.0000], [0.7400, 0.2400, 0.4800], [0.2600, 0.7600, 0.5200], [0.5000, 0.8176, 0.0000]]}

---

Entry b
{"formula": "Pr4Nd3Dy4", "functional": "GGA-PBE", "state": "optimized geometry", "magmom_total_mub_per_cell": 0.00, "space_group": "No. 38", "lattice": [[-4.7709, -3.0048, 1.3437], [4.1563, -2.9700, -4.3857], [5.3036, -4.7384, 8.2351]], "species": ["Pr", "Pr", "Pr", "Pr", "Dy", "Dy", "Dy", "Dy", "Nd", "Nd", "Nd"], "fractional_positions": [[0.7526, 0.5053, 0.7883], [0.8822, 0.7644, 0.5000], [0.9599, 0.9197, 0.0000], [0.7526, 0.5053, 0.2117], [0.1055, 0.2110, 0.3049], [0.5550, 0.1100, 0.0000], [0.1055, 0.2110, 0.6951], [0.6090, 0.2180, 0.5000], [0.4114, 0.8229, 0.2898], [0.4114, 0.8229, 0.7102], [0.2533, 0.5066, 0.0000]]}

---

Which of them is the most stable? Correct choice: entry a.

---

Entry a
{"formula": "PrNd2Dy6", "functional": "GGA-PBE", "state": "optimized geometry", "magmom_total_mub_per_cell": 0.00, "space_group": "No. 71", "lattice": [[-0.2393, 0.3231, 3.4828], [-4.1200, -8.6556, 2.2816], [6.1245, -7.1748, 2.8482]], "species": ["Dy", "Dy", "Dy", "Dy", "Dy", "Dy", "Nd", "Nd", "Pr"], "fractional_positions": [[0.8218, 0.3449, 0.0107], [0.5000, 0.6851, 0.3149], [0.5000, 0.3149, 0.6851], [0.1782, 0.6551, 0.9893], [0.8218, 0.0107, 0.3449], [0.1782, 0.9893, 0.6551], [0.1577, 0.3425, 0.3425], [0.8423, 0.6575, 0.6575], [0.0000, 0.0000, 0.0000]]}

---

Entry b
{"formula": "PrNd2Dy6", "functional": "GGA-PBE", "state": "optimized geometry", "magmom_total_mub_per_cell": 0.00, "space_group": "No. 164", "lattice": [[-4.0980, 4.0153, -1.9599], [-5.4643, -5.1349, 0.9087], [-3.6476, -0.5053, 6.5948]], "species": ["Pr", "Dy", "Dy", "Dy", "Dy", "Dy", "Dy", "Nd", "Nd"], "fractional_positions": [[0.0000, 0.0000, 0.0000], [0.7050, 0.1872, 0.6248], [0.2950, 0.8128, 0.3752], [0.7058, 0.1870, 0.1870], [0.2950, 0.3752, 0.8128], [0.7050, 0.6248, 0.1872], [0.2942, 0.8130, 0.8130], [0.2149, 0.3336, 0.3336], [0.7851, 0.6664, 0.6664]]}

---

Which of them is the most stable? Correct choice: entry a.